DFT (PBE+U) results for LiCo3CuO8 after structural relaxation.

* VASP energy: -5.47 eV/atom
* SG: No. 12
* crystal system: monoclinic

a = 6.0635 Å, b = 5.6607 Å, c = 5.6928 Å
α = 60.19°, β = 60.69°, γ = 90.00°
Last column: nearest neighbours and their distance in Å.
Element x y z (fractional)
Li 0.5000 0.0000 0.0000  6 O 2.19-2.26
Co 0.0000 0.0000 0.5000  6 O 1.85-1.92
Co 0.0000 0.5000 0.0000  6 O 1.91
Co 0.0000 0.5000 0.5000  6 O 1.85-1.92
Cu 0.0000 0.0000 0.0000  6 O 1.95-1.98
O 0.1954 0.2346 0.0403  2 Co 1.88-1.91, 1 Cu 1.95
O 0.1890 0.2417 0.5165  2 Co 1.85, 1 Cu 1.98
O 0.1954 0.7251 0.0403  2 Co 1.88-1.91, 1 Cu 1.95
O 0.1991 0.7344 0.5312  3 Co 1.91-1.92
O 0.8009 0.2656 0.4688  3 Co 1.91-1.92
O 0.8046 0.2749 0.9597  2 Co 1.88-1.91, 1 Cu 1.95
O 0.8110 0.7583 0.4835  2 Co 1.85, 1 Cu 1.98
O 0.8046 0.7654 0.9597  2 Co 1.88-1.91, 1 Cu 1.95